DFT (PBE-GGA) results for a relaxed YTeS2 crystal.

Cell: 7.508 7.508 6.335 Å, 53.66 53.66 90.00°
Sites, in units of the cell vectors:
Y: 0.500 0.500 0.000
Y: 0.250 0.750 0.500
S: 0.607 0.125 0.250
S: 0.143 0.625 0.250
S: 0.375 0.393 0.750
S: 0.875 0.857 0.750
Te: 0.000 0.000 0.000
Te: 0.750 0.250 0.500

Formation energy without anion corrections (kcal/mol of atoms): -17.632